Record 1
A plane-wave DFT calculation with GGA-PBE was carried out for SbPd2O after structural relaxation.

space-group type	P2_1/c
total DFT energy (no corrections)	-5.125	eV/atom
formation energy (no corrections)	-0.26	eV per atom

Unit cell a=6.175 b=6.362 c=6.827 alpha=90.00 beta=93.01 gamma=90.00
Element x y z (fractional)
Pd 0.443 0.246 0.913
Pd 0.057 0.746 0.087
Pd 0.544 0.678 0.634
Pd 0.956 0.178 0.366
Pd 0.044 0.822 0.634
Pd 0.456 0.322 0.366
Pd 0.943 0.254 0.913
Pd 0.557 0.754 0.087
O 0.686 0.473 0.899
O 0.314 0.527 0.101
O 0.186 0.027 0.899
O 0.814 0.973 0.101
Sb 0.323 0.924 0.352
Sb 0.677 0.076 0.648
Sb 0.823 0.576 0.352
Sb 0.177 0.424 0.648



Record 2
A plane-wave DFT calculation with GGA-PBE was carried out for Cs2YCl7 after structural relaxation.

space-group type	I4/mmm
total DFT energy (no corrections)	-3.687	eV/atom
formation energy (no corrections)	-1.58	eV per atom

Unit cell a=7.656 b=7.656 c=8.183 alpha=62.11 beta=62.11 gamma=90.00
Each line ends with the local moment (μB).
Element x y z (fractional)
Cs 0.750 0.250 0.500  0.00
Cs 0.250 0.750 0.500  0.00
Cl 0.500 0.500 0.000  0.87
Cl 0.245 0.245 0.000  0.16
Cl 0.755 0.245 0.000  0.17
Cl 0.755 0.755 0.000  0.16
Cl 0.245 0.755 0.000  0.17
Cl 0.213 0.213 0.574  0.01
Cl 0.787 0.787 0.426  0.01
Y 0.000 0.000 0.000  0.09



Record 3
A plane-wave DFT calculation with GGA-PBE was carried out for CeThGa after structural relaxation.

space-group type	P3m1
calculated formation energy	-0.132	eV per atom
total DFT energy (no corrections)	-5.593	eV/atom

Unit cell a=3.621 b=4.959 c=4.959 alpha=120.00 beta=90.00 gamma=90.00
Each line ends with the local moment (μB).
Element x y z (fractional)
Ga 0.333 0.333 0.667  -0.01
Th 0.645 0.667 0.333  0.09
Ce 0.023 0.000 0.000  0.40



Record 4
A plane-wave DFT calculation with GGA-PBE was carried out for PmNpBeN3 after structural relaxation.

space-group type	P2_1/m
total DFT energy (no corrections)	-8.891	eV/atom
formation energy (no corrections)	-1.16	eV per atom

Unit cell a=3.325 b=7.168 c=6.927 alpha=100.37 beta=90.00 gamma=90.00
Each line ends with the local moment (μB).
Element x y z (fractional)
Be 0.750 0.925 0.404  0.00
Be 0.250 0.075 0.596  0.00
N 0.750 0.879 0.153  -0.08
N 0.250 0.841 0.491  -0.05
N 0.750 0.421 0.143  -0.12
N 0.250 0.121 0.847  -0.08
N 0.250 0.579 0.857  -0.12
N 0.750 0.159 0.509  -0.05
Np 0.250 0.658 0.183  2.85
Np 0.750 0.342 0.817  2.85
Pm 0.750 0.828 0.787  0.07
Pm 0.250 0.172 0.213  0.07



Record 5
A plane-wave DFT calculation with GGA-PBE was carried out for AcDy2TeO8 after structural relaxation.

space-group type	P2/m
total DFT energy (no corrections)	-7.173	eV/atom
formation energy (no corrections)	-2.50	eV per atom

Unit cell a=5.029 b=5.033 c=7.248 alpha=90.00 beta=90.00 gamma=90.41
Each line ends with the local moment (μB).
Element x y z (fractional)
O 0.278 0.277 0.000  0.02
O 0.185 0.814 0.198  0.01
O 0.331 0.329 0.500  0.18
O 0.815 0.186 0.198  0.01
O 0.722 0.723 0.000  0.02
O 0.185 0.814 0.802  0.01
O 0.815 0.186 0.802  0.01
O 0.669 0.671 0.500  0.18
Dy 0.500 0.500 0.768  -0.01
Dy 0.500 0.500 0.232  -0.01
Te 0.000 0.000 0.000  0.00
Ac 0.000 0.000 0.500  0.05



Record 6
A plane-wave DFT calculation with GGA-PBE was carried out for Ta3I7 after structural relaxation.

space-group type	Cmce
total DFT energy (no corrections)	-5.098	eV/atom
formation energy (no corrections)	-0.46	eV per atom

Unit cell a=11.102 b=11.102 c=12.876 alpha=90.00 beta=90.00 gamma=93.38
Element x y z (fractional)
I 0.916 0.331 0.021
I 0.669 0.084 0.021
I 0.084 0.669 0.979
I 0.257 0.257 0.000
I 0.757 0.757 0.500
I 0.743 0.743 0.000
I 0.029 0.215 0.766
I 0.331 0.916 0.979
I 0.715 0.529 0.266
I 0.215 0.029 0.234
I 0.374 0.126 0.750
I 0.416 0.831 0.479
I 0.584 0.169 0.521
I 0.118 0.882 0.735
I 0.529 0.715 0.734
I 0.285 0.471 0.734
I 0.971 0.785 0.234
I 0.126 0.374 0.250
I 0.882 0.118 0.265
I 0.169 0.584 0.479
I 0.382 0.618 0.235
I 0.874 0.626 0.750
I 0.618 0.382 0.765
I 0.471 0.285 0.266
I 0.626 0.874 0.250
I 0.243 0.243 0.500
I 0.831 0.416 0.521
I 0.785 0.971 0.766
Ta 0.056 0.150 0.106
Ta 0.650 0.556 0.606
Ta 0.096 0.904 0.068
Ta 0.556 0.650 0.394
Ta 0.596 0.404 0.432
Ta 0.850 0.944 0.106
Ta 0.404 0.596 0.568
Ta 0.350 0.444 0.394
Ta 0.944 0.850 0.894
Ta 0.150 0.056 0.894
Ta 0.904 0.096 0.932
Ta 0.444 0.350 0.606



Record 7
A plane-wave DFT calculation with GGA-PBE was carried out for ZnAuF6 after structural relaxation.

space-group type	P2_1/c
total DFT energy (no corrections)	-3.376	eV/atom
formation energy (no corrections)	-1.40	eV per atom

Unit cell a=5.402 b=5.518 c=7.722 alpha=90.00 beta=91.81 gamma=90.00
Each line ends with the local moment (μB).
Element x y z (fractional)
F 0.831 0.204 0.934  0.17
F 0.170 0.807 0.441  0.03
F 0.331 0.296 0.434  0.17
F 0.669 0.704 0.566  0.17
F 0.120 0.540 0.745  0.04
F 0.670 0.693 0.941  0.03
F 0.830 0.193 0.559  0.03
F 0.880 0.460 0.255  0.04
F 0.380 0.040 0.755  0.04
F 0.620 0.960 0.245  0.04
F 0.330 0.307 0.059  0.03
F 0.169 0.796 0.066  0.17
Zn 0.000 0.500 0.000  0.03
Zn 0.500 0.000 0.500  0.03
Au 0.500 0.000 0.000  0.45
Au 0.000 0.500 0.500  0.45



Record 8
A plane-wave DFT calculation with GGA-PBE was carried out for AcPr2WN4 after structural relaxation.

space-group type	Cmcm
total DFT energy (no corrections)	-8.413	eV/atom
formation energy (no corrections)	-0.92	eV per atom

Unit cell a=3.567 b=6.522 c=12.538 alpha=90.00 beta=90.00 gamma=105.87
Element x y z (fractional)
W 0.824 0.648 0.750
W 0.176 0.352 0.250
Pr 0.370 0.739 0.961
Pr 0.370 0.739 0.539
Pr 0.630 0.261 0.461
Pr 0.630 0.261 0.039
N 0.267 0.533 0.130
N 0.733 0.467 0.630
N 0.000 0.000 0.000
N 0.267 0.533 0.370
N 0.000 0.000 0.500
N 0.416 0.832 0.750
N 0.584 0.168 0.250
N 0.733 0.467 0.870
Ac 0.917 0.834 0.250
Ac 0.083 0.166 0.750



total DFT energy (no corrections) of number 7 (ZnAuF6)?
-3.376 eV/atom



Please write out number 4 again, unchanged.
A plane-wave DFT calculation with GGA-PBE was carried out for PmNpBeN3 after structural relaxation.

space-group type	P2_1/m
total DFT energy (no corrections)	-8.891	eV/atom
formation energy (no corrections)	-1.16	eV per atom

Unit cell a=3.325 b=7.168 c=6.927 alpha=100.37 beta=90.00 gamma=90.00
Each line ends with the local moment (μB).
Element x y z (fractional)
Be 0.750 0.925 0.404  0.00
Be 0.250 0.075 0.596  0.00
N 0.750 0.879 0.153  -0.08
N 0.250 0.841 0.491  -0.05
N 0.750 0.421 0.143  -0.12
N 0.250 0.121 0.847  -0.08
N 0.250 0.579 0.857  -0.12
N 0.750 0.159 0.509  -0.05
Np 0.250 0.658 0.183  2.85
Np 0.750 0.342 0.817  2.85
Pm 0.750 0.828 0.787  0.07
Pm 0.250 0.172 0.213  0.07